No. 1
The following is a DFT calculation (PBE) of a geometry-optimized SmZrAl structure.

Distance to the lowest polymorph of the same formula ... 22 meV per atom
Density of states at the Fermi level ... 0.91 states/eV per atom

Cell: 3.193 3.193 13.997 Å, 90.00 90.00 90.00°
Space group I4mm (No. 107)
One atom of each set of equivalent atoms:
Sm 0.000 0.000 0.000
Zr 0.000 0.000 0.301
Al 0.000 0.000 0.664

---

No. 2
The following is a DFT calculation (PBE) of a geometry-optimized SmYHgPd structure.

Distance to the lowest polymorph of the same formula ... 0 meV per atom
Density of states at the Fermi level ... 0.79 states/eV per atom

Cell: 3.622 3.622 7.450 Å, 90.00 90.00 90.00°
Space group P4mm (No. 99)
One atom of each set of equivalent atoms:
Sm 0.000 0.000 0.000
Y 0.000 0.000 0.461
Hg 0.500 0.500 0.722
Pd 0.500 0.500 0.240

---

No. 3
The following is a DFT calculation (PBE) of a geometry-optimized Tm8Ru2Pt structure.

Distance to the lowest polymorph of the same formula ... 46 meV per atom
Density of states at the Fermi level ... 0.82 states/eV per atom

Cell: 8.322 12.420 5.751 Å, 90.00 108.39 90.00°
Space group Cm (No. 8)
One atom of each set of equivalent atoms:
Tm 0.000 0.000 0.000
Tm 0.077 0.369 0.782
Tm 0.164 0.131 0.592
Tm 0.231 0.500 0.379
Tm 0.366 0.218 0.191
Ru 0.371 0.311 0.691
Pt 0.364 0.000 0.342

---

No. 4
The following is a DFT calculation (PBE) of a geometry-optimized CsMnCdBr6 structure.

Formation energy without anion corrections ... -0.98 eV per atom

Cell: 6.906 6.912 8.138 Å, 91.98 92.15 115.37°
Space group P1 (No. 1)
One atom of each set of equivalent atoms:
Cs 0.000 0.000 0.000
Mn 0.674 0.326 0.500
Cd 0.322 0.679 0.500
Br 0.395 0.355 0.318
Br 0.397 0.015 0.710
Br 0.645 0.603 0.683
Br 0.647 0.015 0.326
Br 0.984 0.604 0.291
Br 0.986 0.352 0.674

---

No. 5
The following is a DFT calculation (PBE) of a geometry-optimized CrNi4W structure.

Distance to the lowest polymorph of the same formula ... 16 meV per atom
Density of states at the Fermi level ... 0.87 states/eV per atom

Cell: 6.608 6.608 6.608 Å, 90.00 90.00 90.00°
Space group F-43m (No. 216)
One atom of each set of equivalent atoms:
Cr 0.000 0.000 0.000
Ni 0.125 0.125 0.625
W 0.250 0.250 0.250

---

No. 6
The following is a DFT calculation (PBE) of a geometry-optimized NiSeSN structure.

Distance to the lowest polymorph of the same formula ... 62 meV per atom
Density of states at the Fermi level ... 0.57 states/eV per atom
Formation energy without anion corrections ... 0.26 eV per atom

Cell: 3.125 3.126 7.488 Å, 101.44 90.23 119.98°
Space group P1 (No. 1)
One atom of each set of equivalent atoms:
Ni 0.000 0.000 0.000
Se 0.790 0.573 0.377
S 0.274 0.552 0.821
N 0.711 0.419 0.133